Run one
ScZnSe: relaxed, PBE-GGA.

Values from the calculation:
Crystal system ... trigonal

```
data_ScZnSe
_cell_length_a 9.3729
_cell_length_b 9.3729
_cell_length_c 9.3729
_cell_angle_alpha 26.30
_cell_angle_beta 26.30
_cell_angle_gamma 26.30
_symmetry_space_group_name_H-M 'P 1'
_symmetry_Int_Tables_number 1
_symmetry_space_group_name_Hall 'P 1'
loop_
_atom_site_label
_atom_site_fract_x
_atom_site_fract_y
_atom_site_fract_z
Sc1 0.0626 0.0626 0.0626
Sc2 0.9374 0.9374 0.9374
Zn1 0.3282 0.3282 0.3282
Zn2 0.6718 0.6718 0.6718
Se1 0.2300 0.2300 0.2300
Se2 0.7700 0.7700 0.7700
```

=====

Run two
ScZnSe: relaxed, PBE-GGA.

Values from the calculation:
Crystal system ... tetragonal

```
data_ScZnSe
_cell_length_a 3.4267
_cell_length_b 3.4267
_cell_length_c 11.8076
_cell_angle_alpha 90.00
_cell_angle_beta 90.00
_cell_angle_gamma 90.00
_symmetry_space_group_name_H-M 'P 1'
_symmetry_Int_Tables_number 1
_symmetry_space_group_name_Hall 'P 1'
loop_
_atom_site_label
_atom_site_fract_x
_atom_site_fract_y
_atom_site_fract_z
Sc1 0.0000 0.0000 0.0000
Sc2 0.5000 0.5000 0.5000
Zn1 0.0000 0.0000 0.6544
Zn2 0.5000 0.5000 0.1544
Se1 0.0000 0.0000 0.3971
Se2 0.5000 0.5000 0.8971
```

=====

Run three
ScZnSe: relaxed, PBE-GGA.

Values from the calculation:
Crystal system ... monoclinic

```
data_ScZnSe
_cell_length_a 10.5619
_cell_length_b 3.7852
_cell_length_c 7.1763
_cell_angle_alpha 90.00
_cell_angle_beta 122.65
_cell_angle_gamma 90.00
_symmetry_space_group_name_H-M 'P 1'
_symmetry_Int_Tables_number 1
_symmetry_space_group_name_Hall 'P 1'
loop_
_atom_site_label
_atom_site_fract_x
_atom_site_fract_y
_atom_site_fract_z
Sc1 0.0000 0.0000 0.0000
Sc2 0.1279 0.0000 0.6020
Sc3 0.5000 0.5000 0.0000
Sc4 0.6279 0.5000 0.6020
Zn1 0.2949 0.5000 0.3968
Zn2 0.4050 0.0000 0.6522
Zn3 0.7949 0.0000 0.3968
Zn4 0.9050 0.5000 0.6522
Se1 0.0255 0.5000 0.2844
Se2 0.1889 0.5000 0.9263
Se3 0.5255 0.0000 0.2844
Se4 0.6889 0.0000 0.9263
```

=====

Run four
ScZnSe: relaxed, PBE-GGA.

Values from the calculation:
Crystal system ... monoclinic

```
data_ScZnSe
_cell_length_a 5.4661
_cell_length_b 3.6272
_cell_length_c 6.8229
_cell_angle_alpha 90.00
_cell_angle_beta 113.43
_cell_angle_gamma 90.00
_symmetry_space_group_name_H-M 'P 1'
_symmetry_Int_Tables_number 1
_symmetry_space_group_name_Hall 'P 1'
loop_
_atom_site_label
_atom_site_fract_x
_atom_site_fract_y
_atom_site_fract_z
Sc1 0.0000 0.0000 0.0000
Sc2 0.2773 0.0000 0.5721
Zn1 0.5639 0.5000 0.9407
Zn2 0.7177 0.0000 0.2623
Se1 0.0282 0.5000 0.7117
Se2 0.3366 0.5000 0.2934
```

=====

run one comes first in stability; the runner-up is 14.8 kJ/mol of atoms higher.

=====

Run one
Zr3ScSe: relaxed, PBE-GGA.

Values from the calculation:
Crystal system ... cubic

```
data_Zr3ScSe
_cell_length_a 5.0650
_cell_length_b 5.0650
_cell_length_c 5.0650
_cell_angle_alpha 90.00
_cell_angle_beta 90.00
_cell_angle_gamma 90.00
_symmetry_space_group_name_H-M 'P 1'
_symmetry_Int_Tables_number 1
_symmetry_space_group_name_Hall 'P 1'
loop_
_atom_site_label
_atom_site_fract_x
_atom_site_fract_y
_atom_site_fract_z
Zr1 0.0000 0.0000 0.5000
Zr2 0.0000 0.5000 0.0000
Zr3 0.5000 0.0000 0.0000
Sc1 0.0000 0.0000 0.0000
Se1 0.5000 0.5000 0.5000
```

=====

Run two
Zr3ScSe: relaxed, PBE-GGA.

Values from the calculation:
Crystal system ... cubic

```
data_Zr3ScSe
_cell_length_a 5.0295
_cell_length_b 5.0295
_cell_length_c 5.0295
_cell_angle_alpha 90.00
_cell_angle_beta 90.00
_cell_angle_gamma 90.00
_symmetry_space_group_name_H-M 'P 1'
_symmetry_Int_Tables_number 1
_symmetry_space_group_name_Hall 'P 1'
loop_
_atom_site_label
_atom_site_fract_x
_atom_site_fract_y
_atom_site_fract_z
Zr1 0.0000 0.0000 0.5000
Zr2 0.0000 0.5000 0.0000
Zr3 0.5000 0.0000 0.0000
Sc1 0.5000 0.5000 0.5000
Se1 0.0000 0.0000 0.0000
```

=====

run two comes first in stability; the runner-up is 116.1 kJ/mol of atoms higher.